Entry 1:
8
Lattice="2.036 1.175 8.168 -2.036 1.175 8.168 0.000 -2.351 8.168" Properties=species:S:1:pos:R:3 comment="ErBeAl2Cu4 PBE relaxed" rho_g_cm3=6.86 crystal_system=trigonal m_tot_mub_per_cell=0.00 vol_a3_per_cell=117.3 formation_energy_mev_per_atom=-232 pbc="T T T"
Er 0.000 0.000 0.000
Be 0.000 0.000 12.252
Al 0.000 0.000 5.890
Al 0.000 0.000 18.615
Cu 0.000 0.000 3.340
Cu 0.000 0.000 9.959
Cu 0.000 0.000 14.546
Cu 0.000 0.000 21.165

---

Entry 2:
20
Lattice="7.065 0.000 0.000 0.000 11.684 0.000 -2.259 0.000 6.658" Properties=species:S:1:pos:R:3 comment="AlTeS3 PBE relaxed" rho_g_cm3=3.03 crystal_system=monoclinic de_polymorph_ev_per_atom=0.0000 m_tot_mub_per_cell=0.00 vol_a3_per_cell=549.6 pbc="T T T"
Al -0.182 2.728 3.194
Al -1.312 3.114 6.523
Al 6.118 8.570 0.135
Al 4.988 8.956 3.464
Te 0.397 6.031 4.799
Te 1.526 11.495 1.470
Te 3.280 0.189 5.189
Te 4.410 5.653 1.859
S -1.355 8.719 5.560
S -0.225 8.807 2.231
S 0.704 0.575 3.542
S 1.833 5.267 0.212
S 2.637 1.760 0.583
S 1.508 4.082 3.913
S 3.298 7.602 2.746
S 2.169 9.924 6.075
S 2.973 6.418 6.446
S 4.102 11.109 3.117
S 5.031 2.877 4.427
S 6.161 2.965 1.098

---

Entry 3:
4
Lattice="1.992 1.150 7.467 -1.992 1.150 7.467 0.000 -2.300 7.467" Properties=species:S:1:pos:R:3 comment="CuSbSe2 PBE relaxed" rho_g_cm3=5.55 crystal_system=trigonal m_tot_mub_per_cell=0.00 vol_a3_per_cell=102.7 e_tot_ev_per_cell=-15.7 pbc="T T T"
Cu 0.000 0.000 0.000
Sb 0.000 0.000 16.906
Se 0.000 0.000 6.985
Se 0.000 0.000 11.071